Record 1
Entry from Alexandria: a relaxed NdCoSn crystal (GGA-PBE).

```
data_NdCoSn
_chemical_formula_sum 'Nd1 Co1 Sn1'
_space_group_name_H-M_alt 'P 1'
_space_group_IT_number 1
_cell_length_a 4.527
_cell_length_b 4.527
_cell_length_c 3.847
_cell_angle_alpha 90.00
_cell_angle_beta 90.00
_cell_angle_gamma 120.00
loop_
_space_group_symop_operation_xyz
'x,y,z'
loop_
_atom_site_label
_atom_site_type_symbol
_atom_site_fract_x
_atom_site_fract_y
_atom_site_fract_z
Nd1 Nd 0.000 0.000 0.000
Co1 Co 0.333 0.667 0.500
Sn1 Sn 0.667 0.333 0.500
```

Properties
**DFT formation energy**: -0.336 eV/atom
**Space-group type**: P-6m2, No. 187
**E_tot**: -5.628 eV per atom
**Density of states at the Fermi level**: 3.05 states/eV/cell


Record 2
Entry from Alexandria: a relaxed Nd2CoSn6 crystal (GGA-PBE).

```
data_Nd2CoSn6
_chemical_formula_sum 'Nd2 Co1 Sn6'
_space_group_name_H-M_alt 'P 1'
_space_group_IT_number 1
_cell_length_a 8.990
_cell_length_b 8.990
_cell_length_c 4.155
_cell_angle_alpha 90.00
_cell_angle_beta 90.00
_cell_angle_gamma 133.79
loop_
_space_group_symop_operation_xyz
'x,y,z'
loop_
_atom_site_label
_atom_site_type_symbol
_atom_site_fract_x
_atom_site_fract_y
_atom_site_fract_z
Nd1 Nd 0.213 0.787 0.000
Nd2 Nd 0.787 0.213 0.000
Co1 Co 0.500 0.500 0.500
Sn1 Sn 0.161 0.435 0.500
Sn2 Sn 0.251 0.251 0.000
Sn3 Sn 0.435 0.161 0.500
Sn4 Sn 0.565 0.839 0.500
Sn5 Sn 0.749 0.749 0.000
Sn6 Sn 0.839 0.565 0.500
```

Properties
**DFT formation energy**: -0.284 eV/atom
**Space-group type**: Cmmm, No. 65
**E_tot**: -4.802 eV per atom
**Density of states at the Fermi level**: 6.80 states/eV/cell


Record 3
Entry from Alexandria: a relaxed Nd4CoSn2 crystal (GGA-PBE).

```
data_Nd4CoSn2
_chemical_formula_sum 'Nd4 Co1 Sn2'
_space_group_name_H-M_alt 'P 1'
_space_group_IT_number 1
_cell_length_a 9.273
_cell_length_b 9.273
_cell_length_c 9.273
_cell_angle_alpha 148.72
_cell_angle_beta 148.72
_cell_angle_gamma 44.82
loop_
_space_group_symop_operation_xyz
'x,y,z'
loop_
_atom_site_label
_atom_site_type_symbol
_atom_site_fract_x
_atom_site_fract_y
_atom_site_fract_z
Nd1 Nd 0.000 0.500 0.500
Nd2 Nd 0.175 0.175 0.000
Nd3 Nd 0.500 0.000 0.500
Nd4 Nd 0.825 0.825 0.000
Co1 Co 0.000 0.000 0.000
Sn1 Sn 0.361 0.361 0.000
Sn2 Sn 0.639 0.639 0.000
```

Properties
**DFT formation energy**: -0.402 eV/atom
**Space-group type**: I4/mmm, No. 139
**E_tot**: -5.285 eV per atom
**Density of states at the Fermi level**: 3.70 states/eV/cell


Record 4
Entry from Alexandria: a relaxed NdCo6Sn12 crystal (GGA-PBE).

```
data_NdCo6Sn12
_chemical_formula_sum 'Nd1 Co6 Sn12'
_space_group_name_H-M_alt 'P 1'
_space_group_IT_number 1
_cell_length_a 7.707
_cell_length_b 7.707
_cell_length_c 7.707
_cell_angle_alpha 106.07
_cell_angle_beta 106.07
_cell_angle_gamma 106.07
loop_
_space_group_symop_operation_xyz
'x,y,z'
loop_
_atom_site_label
_atom_site_type_symbol
_atom_site_fract_x
_atom_site_fract_y
_atom_site_fract_z
Nd1 Nd 0.000 0.000 0.000
Co1 Co 0.275 0.275 0.699
Co2 Co 0.275 0.699 0.275
Co3 Co 0.301 0.725 0.725
Co4 Co 0.699 0.275 0.275
Co5 Co 0.725 0.301 0.725
Co6 Co 0.725 0.725 0.301
Sn1 Sn 0.121 0.500 0.879
Sn2 Sn 0.121 0.879 0.500
Sn3 Sn 0.152 0.410 0.410
Sn4 Sn 0.410 0.152 0.410
Sn5 Sn 0.410 0.410 0.152
Sn6 Sn 0.500 0.121 0.879
Sn7 Sn 0.500 0.879 0.121
Sn8 Sn 0.590 0.590 0.848
Sn9 Sn 0.590 0.848 0.590
Sn10 Sn 0.848 0.590 0.590
Sn11 Sn 0.879 0.121 0.500
Sn12 Sn 0.879 0.500 0.121
```

Properties
**DFT formation energy**: 0.038 eV/atom
**Space-group type**: R-3m, No. 166
**E_tot**: -4.985 eV per atom
**Density of states at the Fermi level**: 17.46 states/eV/cell


Record 5
Entry from Alexandria: a relaxed NdCo4Sn crystal (GGA-PBE).

```
data_NdCo4Sn
_chemical_formula_sum 'Nd1 Co4 Sn1'
_space_group_name_H-M_alt 'P 1'
_space_group_IT_number 1
_cell_length_a 5.078
_cell_length_b 5.078
_cell_length_c 5.078
_cell_angle_alpha 60.00
_cell_angle_beta 60.00
_cell_angle_gamma 60.00
loop_
_space_group_symop_operation_xyz
'x,y,z'
loop_
_atom_site_label
_atom_site_type_symbol
_atom_site_fract_x
_atom_site_fract_y
_atom_site_fract_z
Nd1 Nd 0.000 0.000 0.000
Co1 Co 0.128 0.624 0.624
Co2 Co 0.624 0.128 0.624
Co3 Co 0.624 0.624 0.128
Co4 Co 0.624 0.624 0.624
Sn1 Sn 0.250 0.250 0.250
```

Properties
**DFT formation energy**: -0.037 eV/atom
**Space-group type**: F-43m, No. 216
**E_tot**: -6.236 eV per atom
**Density of states at the Fermi level**: 10.44 states/eV/cell


Record 6
Entry from Alexandria: a relaxed Nd8CoSn2 crystal (GGA-PBE).

```
data_Nd8CoSn2
_chemical_formula_sum 'Nd8 Co1 Sn2'
_space_group_name_H-M_alt 'P 1'
_space_group_IT_number 1
_cell_length_a 10.049
_cell_length_b 10.049
_cell_length_c 7.131
_cell_angle_alpha 101.33
_cell_angle_beta 101.33
_cell_angle_gamma 28.47
loop_
_space_group_symop_operation_xyz
'x,y,z'
loop_
_atom_site_label
_atom_site_type_symbol
_atom_site_fract_x
_atom_site_fract_y
_atom_site_fract_z
Nd1 Nd 0.010 0.010 0.282
Nd2 Nd 0.216 0.216 0.826
Nd3 Nd 0.360 0.360 0.487
Nd4 Nd 0.407 0.407 0.010
Nd5 Nd 0.593 0.593 0.990
Nd6 Nd 0.640 0.640 0.513
Nd7 Nd 0.784 0.784 0.174
Nd8 Nd 0.990 0.990 0.718
Co1 Co 0.500 0.500 0.500
Sn1 Sn 0.182 0.182 0.264
Sn2 Sn 0.818 0.818 0.736
```

Properties
**DFT formation energy**: -0.293 eV/atom
**Space-group type**: C2/m, No. 12
**E_tot**: -5.134 eV per atom
**Density of states at the Fermi level**: 10.65 states/eV/cell